Re3Rh5, single point on PBEsol structure, DFT meta-GGA SCAN; calculated volume = 110.13 Å³ per cell; space-group type = Pmm2, No. 25; crystal system = orthorhombic; energy relative to the elements = -163 meV per atom; distance to the lowest polymorph of the same formula = 0 meV per atom
1.0
2.6974 0.0000 0.0000
0.0000 4.3112 0.0000
0.0000 0.0000 9.4706
Re Rh
3 5
direct
0.0000 0.0000 0.0000
0.0000 0.0000 0.4976
0.0000 0.5000 0.8359
0.0000 0.5000 0.3357
0.5000 0.0000 0.2505
0.5000 0.0000 0.7498
0.5000 0.5000 0.0844
0.5000 0.5000 0.5867



ReRh3, single point on PBEsol structure, DFT meta-GGA SCAN; calculated volume = 55.04 Å³ per cell; space-group type = P-6m2, No. 187; crystal system = hexagonal; energy relative to the elements = -101 meV per atom; distance to the lowest polymorph of the same formula = 4 meV per atom
1.0
2.7119 0.0000 0.0000
-1.3560 2.3486 0.0000
0.0000 0.0000 8.6412
Re Rh
1 3
direct
0.0000 0.0000 0.0000
0.0000 0.0000 0.5000
0.6667 0.3333 0.2445
0.6667 0.3333 0.7555



ReRh3, single point on PBEsol structure, DFT meta-GGA SCAN; calculated volume = 54.99 Å³ per cell; space-group type = R-3m, No. 166; crystal system = trigonal; energy relative to the elements = -55 meV per atom; distance to the lowest polymorph of the same formula = 49 meV per atom
1.0
1.3430 0.7754 8.8024
-1.3430 0.7754 8.8024
0.0000 -1.5507 8.8024
Re Rh
1 3
direct
0.0000 0.0000 0.0000
0.2510 0.2510 0.2510
0.5000 0.5000 0.5000
0.7490 0.7490 0.7490



ReRh2, single point on PBEsol structure, DFT meta-GGA SCAN; calculated volume = 125.47 Å³ per cell; space-group type = P-62m, No. 189; crystal system = hexagonal; energy relative to the elements = -99 meV per atom; distance to the lowest polymorph of the same formula = 94 meV per atom
1.0
7.3270 0.0000 0.0000
-3.6635 6.3454 0.0000
0.0000 0.0000 2.6987
Re Rh
3 6
direct
0.0000 0.0000 0.0000
0.3333 0.6667 0.5000
0.6667 0.3333 0.5000
0.0000 0.3608 0.0000
0.0000 0.6978 0.5000
0.3022 0.3022 0.5000
0.3608 0.0000 0.0000
0.6392 0.6392 0.0000
0.6978 0.0000 0.5000



Re5Rh3, single point on PBEsol structure, DFT meta-GGA SCAN; calculated volume = 112.44 Å³ per cell; space-group type = Amm2, No. 38; crystal system = orthorhombic; energy relative to the elements = -165 meV per atom; distance to the lowest polymorph of the same formula = 0 meV per atom
1.0
2.7234 0.0000 0.0000
0.0000 4.3510 4.7445
0.0000 -4.3510 4.7445
Re Rh
5 3
direct
0.0000 0.0000 0.0000
0.0000 0.0854 0.5808
0.0000 0.4988 0.4988
0.0000 0.5808 0.0854
0.5000 0.2502 0.2502
0.5000 0.3309 0.8298
0.5000 0.7484 0.7484
0.5000 0.8298 0.3309



ReRh3, single point on PBEsol structure, DFT meta-GGA SCAN; calculated volume = 109.59 Å³ per cell; space-group type = Imma, No. 74; crystal system = orthorhombic; energy relative to the elements = -86 meV per atom; distance to the lowest polymorph of the same formula = 19 meV per atom
1.0
-1.9002 1.9126 7.5387
1.9002 -1.9126 7.5387
1.9002 1.9126 -7.5387
Re Rh
2 6
direct
0.4378 0.1878 0.2500
0.5622 0.8122 0.7500
0.0612 0.3112 0.7500
0.1834 0.9334 0.2500
0.3117 0.5617 0.7500
0.6883 0.4383 0.2500
0.8166 0.0666 0.7500
0.9388 0.6888 0.2500



ReRh2, single point on PBEsol structure, DFT meta-GGA SCAN; calculated volume = 41.22 Å³ per cell; space-group type = Immm, No. 71; crystal system = orthorhombic; energy relative to the elements = -142 meV per atom; distance to the lowest polymorph of the same formula = 52 meV per atom
1.0
-1.3403 1.9047 4.0368
1.3403 -1.9047 4.0368
1.3403 1.9047 -4.0368
Re Rh
1 2
direct
0.0000 0.0000 0.0000
0.3357 0.3357 0.0000
0.6643 0.6643 0.0000



ReRh2, single point on PBEsol structure, DFT meta-GGA SCAN; calculated volume = 82.11 Å³ per cell; space-group type = Cmcm, No. 63; crystal system = orthorhombic; energy relative to the elements = -193 meV per atom; distance to the lowest polymorph of the same formula = 0 meV per atom
1.0
4.0476 -2.3500 0.0000
4.0476 2.3500 0.0000
0.0000 0.0000 4.3163
Re Rh
2 4
direct
0.1693 0.8308 0.7500
0.8308 0.1693 0.2500
0.1664 0.4998 0.2500
0.4998 0.1664 0.7500
0.5002 0.8336 0.2500
0.8336 0.5002 0.7500



ReRh5, single point on PBEsol structure, DFT meta-GGA SCAN; calculated volume = 81.51 Å³ per cell; space-group type = Amm2, No. 38; crystal system = orthorhombic; energy relative to the elements = -78 meV per atom; distance to the lowest polymorph of the same formula = 6 meV per atom
1.0
4.3092 0.0000 0.0000
0.0000 1.3490 7.0109
0.0000 -1.3490 7.0109
Re Rh
1 5
direct
0.0000 0.0000 0.0000
0.0000 0.3368 0.3368
0.0000 0.6657 0.6657
0.5000 0.2247 0.2247
0.5000 0.5574 0.5574
0.5000 0.8899 0.8899



ReRh3, single point on PBEsol structure, DFT meta-GGA SCAN; calculated volume = 54.73 Å³ per cell; space-group type = Pmmm, No. 47; crystal system = orthorhombic; energy relative to the elements = -81 meV per atom; distance to the lowest polymorph of the same formula = 24 meV per atom
1.0
2.6733 0.0000 0.0000
0.0000 3.8188 0.0000
0.0000 0.0000 5.3607
Re Rh
1 3
direct
0.0000 0.0000 0.0000
0.0000 0.0000 0.5000
0.5000 0.5000 0.2470
0.5000 0.5000 0.7530



ReRu2Rh, single point on PBEsol structure, DFT meta-GGA SCAN; calculated volume = 54.33 Å³ per cell; space-group type = Pmm2, No. 25; crystal system = orthorhombic; energy relative to the elements = -101 meV per atom; distance to the lowest polymorph of the same formula = 0 meV per atom
1.0
2.6987 0.0000 0.0000
0.0000 4.2891 0.0000
0.0000 0.0000 4.6938
Re Ru Rh
1 2 1
direct
0.0000 0.0000 0.0000
0.0000 0.5000 0.3277
0.5000 0.0000 0.4920
0.5000 0.5000 0.8262



ReRu2Rh, single point on PBEsol structure, DFT meta-GGA SCAN; calculated volume = 54.62 Å³ per cell; space-group type = Cmmm, No. 65; crystal system = orthorhombic; energy relative to the elements = 37 meV per atom; distance to the lowest polymorph of the same formula = 138 meV per atom
1.0
2.6895 -3.7775 0.0000
2.6895 3.7775 0.0000
0.0000 0.0000 2.6881
Re Ru Rh
1 2 1
direct
0.0000 0.0000 0.0000
0.0000 0.5000 0.5000
0.5000 0.0000 0.5000
0.5000 0.5000 0.0000



ReRu2Rh, single point on PBEsol structure, DFT meta-GGA SCAN; calculated volume = 54.71 Å³ per cell; space-group type = P4/mmm, No. 123; crystal system = tetragonal; energy relative to the elements = 32 meV per atom; distance to the lowest polymorph of the same formula = 133 meV per atom
1.0
2.6881 0.0000 0.0000
0.0000 2.6881 0.0000
0.0000 0.0000 7.5711
Re Ru Rh
1 2 1
direct
0.0000 0.0000 0.0000
0.5000 0.5000 0.2493
0.5000 0.5000 0.7507
0.0000 0.0000 0.5000



ReRu2Rh, single point on PBEsol structure, DFT meta-GGA SCAN; calculated volume = 54.65 Å³ per cell; space-group type = Cm, No. 8; crystal system = monoclinic; energy relative to the elements = 32 meV per atom; distance to the lowest polymorph of the same formula = 134 meV per atom
1.0
4.4521 -1.3383 0.0000
4.4521 1.3383 0.0000
-0.8008 0.0000 4.5859
Re Ru Rh
1 2 1
direct
0.0000 0.0000 0.0000
0.4972 0.4972 0.4924
0.7503 0.7503 0.2526
0.2500 0.2500 0.7516



ReRu2Rh, single point on PBEsol structure, DFT meta-GGA SCAN; calculated volume = 54.65 Å³ per cell; space-group type = Pmmm, No. 47; crystal system = orthorhombic; energy relative to the elements = 35 meV per atom; distance to the lowest polymorph of the same formula = 136 meV per atom
1.0
2.6733 0.0000 0.0000
0.0000 3.8040 0.0000
0.0000 0.0000 5.3739
Re Ru Rh
1 2 1
direct
0.0000 0.0000 0.0000
0.5000 0.5000 0.2492
0.5000 0.5000 0.7508
0.0000 0.0000 0.5000



ReRhS2, single point on PBEsol structure, DFT meta-GGA SCAN; calculated volume = 52.34 Å³ per cell; space-group type = Fm-3m, No. 225; crystal system = cubic; ΔE_f (raw) = 145 kJ/mol of formula units
1.0
0.0000 2.9690 2.9690
2.9690 0.0000 2.9690
2.9690 2.9690 0.0000
Re Rh S
1 1 2
direct
0.0000 0.0000 0.0000
0.5000 0.5000 0.5000
0.2500 0.2500 0.2500
0.7500 0.7500 0.7500



ZnRe2RhS, single point on PBEsol structure, DFT meta-GGA SCAN; calculated volume = 85.07 Å³ per cell; space-group type = P4/mmm, No. 123; crystal system = tetragonal; ΔE_f (raw) = 1126 kJ/mol of formula units
1.0
4.5328 0.0000 0.0000
0.0000 4.5328 0.0000
0.0000 0.0000 4.1403
Zn Re Rh S
1 2 1 1
direct
0.0000 0.0000 0.0000
0.0000 0.5000 0.0000
0.5000 0.0000 0.0000
0.5000 0.5000 0.5000
0.0000 0.0000 0.5000



Re2SbRh, single point on PBEsol structure, DFT meta-GGA SCAN; calculated volume = 63.16 Å³ per cell; space-group type = P4mm, No. 99; crystal system = tetragonal; ΔE_f (raw) = 97 kJ/mol of formula units
1.0
2.9259 0.0000 0.0000
0.0000 2.9259 0.0000
0.0000 0.0000 7.3774
Re Sb Rh
2 1 1
direct
0.0000 0.0000 0.0000
0.5000 0.5000 0.2220
0.5000 0.5000 0.7261
0.0000 0.0000 0.4718



Re2SbRh, single point on PBEsol structure, DFT meta-GGA SCAN; calculated volume = 63.33 Å³ per cell; space-group type = Pm, No. 6; crystal system = monoclinic; ΔE_f (raw) = 107 kJ/mol of formula units
1.0
2.9221 0.0000 0.0000
0.0000 3.8554 0.0000
-0.2648 0.0000 5.6216
Re Sb Rh
2 1 1
direct
0.0000 0.0000 0.0000
0.4599 0.5000 0.1899
0.9544 0.0000 0.4958
0.4474 0.5000 0.7157



ReSbRh2, single point on PBEsol structure, DFT meta-GGA SCAN; calculated volume = 60.98 Å³ per cell; space-group type = Cmmm, No. 65; crystal system = orthorhombic; ΔE_f (raw) = 65 kJ/mol of formula units
1.0
2.7447 -3.9146 0.0000
2.7447 3.9146 0.0000
0.0000 0.0000 2.8376
Re Sb Rh
1 1 2
direct
0.0000 0.0000 0.0000
0.5000 0.5000 0.0000
0.0000 0.5000 0.5000
0.5000 0.0000 0.5000